DFT (GGA-PBE) results for an optimized crystal structure of ReNi2Cl.

Cell: 4.995 4.995 4.995 Å, 148.22 126.96 63.17°
Positions (direct):
Re 0.000 0.000 0.000
Ni 0.261 0.761 0.500
Ni 0.739 0.239 0.500
Cl 0.500 0.500 0.000

## Properties
E above lowest polymorph: 568 meV/atom
total energy: -22.86 eV/cell
energy relative to the elements, uncorrected: 3.0 eV/f.u.